a.
A plane-wave DFT calculation with GGA-PBE was carried out for a relaxed KLaPd3 crystal.

The structure belongs to space group Pm-3m (No. 221); the cell edges are 5.385, 5.385 and 5.385 Å and the angles 90.00°, 90.00° and 90.00°. Symmetry generates all atoms from K at (0.000, 0.000, 0.000), La at (0.500, 0.500, 0.500) and Pd at (0.000, 0.500, 0.500).

The value obtained for the density of states at the Fermi level is 4.585 states/eV/f.u.



b.
A plane-wave DFT calculation with GGA-PBE was carried out for a relaxed KLaPd3 crystal.

The structure belongs to space group Pm-3m (No. 221); the cell edges are 5.058, 5.058 and 5.058 Å and the angles 90.00°, 90.00° and 90.00°. Symmetry generates all atoms from K at (0.000, 0.000, 0.000), La at (0.500, 0.500, 0.500) and Pd at (0.000, 0.000, 0.500).

The value obtained for the density of states at the Fermi level is 11.032 states/eV/f.u.



Which one sits at the top of the stability order? a does.



a.
A plane-wave DFT calculation with GGA-PBE was carried out for a relaxed K2LaPd crystal.

The structure belongs to space group Fm-3m (No. 225); the cell edges are 8.090, 8.090 and 8.090 Å and the angles 90.00°, 90.00° and 90.00°. Symmetry generates all atoms from K at (0.250, 0.250, 0.250), La at (0.000, 0.000, 0.000) and Pd at (0.000, 0.000, 0.500).

The value obtained for the density of states at the Fermi level is 4.010 states/eV/f.u.



b.
A plane-wave DFT calculation with GGA-PBE was carried out for a relaxed K2LaPd crystal.

The structure belongs to space group I-42d (No. 122); the cell edges are 12.018, 12.018 and 5.391 Å and the angles 90.00°, 90.00° and 90.00°. Symmetry generates all atoms from K at (0.125, 0.250, 0.125), La at (0.000, 0.000, 0.500) and Pd at (0.000, 0.000, 0.000).

The value obtained for the density of states at the Fermi level is 6.316 states/eV/f.u.



Which one sits at the top of the stability order? b does.



a.
A plane-wave DFT calculation with GGA-PBE was carried out for a relaxed KLa2Pt crystal.

The structure belongs to space group P4mm (No. 99); the cell edges are 4.125, 4.125 and 9.904 Å and the angles 90.00°, 90.00° and 90.00°. Symmetry generates all atoms from K at (0.000, 0.000, 0.000), La at (0.000, 0.000, 0.617), La at (0.500, 0.500, 0.350) and Pt at (0.500, 0.500, 0.637).

The value obtained for the density of states at the Fermi level is 4.973 states/eV/f.u.



b.
A plane-wave DFT calculation with GGA-PBE was carried out for a relaxed KLa2Pt crystal.

The structure belongs to space group Immm (No. 71); the cell edges are 3.974, 6.434 and 11.420 Å and the angles 90.00°, 90.00° and 90.00°. Symmetry generates all atoms from K at (0.000, 0.000, 0.000), La at (0.000, 0.500, 0.179) and Pt at (0.000, 0.000, 0.500).

The value obtained for the density of states at the Fermi level is 4.027 states/eV/f.u.



c.
A plane-wave DFT calculation with GGA-PBE was carried out for a relaxed KLa2Pt crystal.

The structure belongs to space group R-3m (No. 166, hexagonal axes); the cell edges are 4.3393, 4.3393 and 32.1626 Å and the angles 90.00°, 90.00° and 120.00°. Symmetry generates all atoms from K at (0.0000, 0.0000, 0.0000), La at (0.0000, 0.0000, 0.2138) and Pt at (0.0000, 0.0000, 0.5000).

The value obtained for the density of states at the Fermi level is 3.005 states/eV/f.u.



d.
A plane-wave DFT calculation with GGA-PBE was carried out for a relaxed KLa2Pt crystal.

The structure belongs to space group Pmmm (No. 47); the cell edges are 4.404, 4.647 and 5.678 Å and the angles 90.00°, 90.00° and 90.00°. Symmetry generates all atoms from K at (0.000, 0.000, 0.000), La at (0.500, 0.000, 0.500), La at (0.500, 0.500, 0.000) and Pt at (0.000, 0.500, 0.500).

The value obtained for the density of states at the Fermi level is 3.871 states/eV/f.u.



Which one sits at the top of the stability order? c does.



a.
A plane-wave DFT calculation with GGA-PBE was carried out for a relaxed KLa2Pt crystal.

The structure belongs to space group Imm2 (No. 44); the cell edges are 3.911, 4.012 and 21.487 Å and the angles 90.00°, 90.00° and 90.00°. Symmetry generates all atoms from K at (0.000, 0.000, 0.000), La at (0.000, 0.000, 0.333), La at (0.000, 0.500, 0.182) and Pt at (0.000, 0.500, 0.735).

The value obtained for the density of states at the Fermi level is 4.913 states/eV/f.u.



b.
A plane-wave DFT calculation with GGA-PBE was carried out for a relaxed KLa2Pt crystal.

The structure belongs to space group Pm (No. 6); the cell edges are 4.246, 4.064 and 9.714 Å and the angles 90.00°, 102.61° and 90.00°. Symmetry generates all atoms from K at (0.000, 0.000, 0.000), La at (0.319, 0.500, 0.640), La at (0.679, 0.000, 0.361) and Pt at (0.170, 0.500, 0.342).

The value obtained for the density of states at the Fermi level is 4.597 states/eV/f.u.



c.
A plane-wave DFT calculation with GGA-PBE was carried out for a relaxed KLa2Pt crystal.

The structure belongs to space group I-4m2 (No. 119); the cell edges are 4.469, 4.469 and 11.652 Å and the angles 90.00°, 90.00° and 90.00°. Symmetry generates all atoms from K at (0.000, 0.000, 0.000), La at (0.000, 0.000, 0.500), La at (0.000, 0.500, 0.750) and Pt at (0.000, 0.500, 0.250).

The value obtained for the density of states at the Fermi level is 3.053 states/eV/f.u.



d.
A plane-wave DFT calculation with GGA-PBE was carried out for a relaxed KLa2Pt crystal.

The structure belongs to space group Cmmm (No. 65); the cell edges are 5.249, 5.263 and 10.892 Å and the angles 90.00°, 90.00° and 90.00°. Symmetry generates all atoms from K at (0.000, 0.000, 0.000), La at (0.000, 0.500, 0.346) and Pt at (0.000, 0.000, 0.500).

The value obtained for the density of states at the Fermi level is 3.711 states/eV/f.u.



Which one sits at the top of the stability order? d does.



a.
A plane-wave DFT calculation with GGA-PBE was carried out for a relaxed KLa2Pt crystal.

The structure belongs to space group F-43m (No. 216); the cell edges are 7.662, 7.662 and 7.662 Å and the angles 90.00°, 90.00° and 90.00°. Symmetry generates all atoms from K at (0.000, 0.000, 0.000), La at (0.000, 0.000, 0.500), La at (0.250, 0.250, 0.750) and Pt at (0.250, 0.250, 0.250).

The value obtained for the density of states at the Fermi level is 5.383 states/eV/f.u.



b.
A plane-wave DFT calculation with GGA-PBE was carried out for a relaxed KLa2Pt crystal.

The structure belongs to space group Fm-3m (No. 225); the cell edges are 7.683, 7.683 and 7.683 Å and the angles 90.00°, 90.00° and 90.00°. Symmetry generates all atoms from K at (0.000, 0.000, 0.000), La at (0.250, 0.250, 0.250) and Pt at (0.000, 0.000, 0.500).

The value obtained for the density of states at the Fermi level is 4.550 states/eV/f.u.



c.
A plane-wave DFT calculation with GGA-PBE was carried out for a relaxed KLa2Pt crystal.

The structure belongs to space group I-42d (No. 122); the cell edges are 9.057, 9.057 and 7.328 Å and the angles 90.00°, 90.00° and 90.00°. Symmetry generates all atoms from K at (0.000, 0.000, 0.000), La at (0.163, 0.250, 0.625) and Pt at (0.000, 0.000, 0.500).

The value obtained for the density of states at the Fermi level is 5.629 states/eV/f.u.



Which one sits at the top of the stability order? c does.



a.
A plane-wave DFT calculation with GGA-PBE was carried out for a relaxed KLaPt3 crystal.

The structure belongs to space group Pm-3m (No. 221); the cell edges are 5.455, 5.455 and 5.455 Å and the angles 90.00°, 90.00° and 90.00°. Symmetry generates all atoms from K at (0.000, 0.000, 0.000), La at (0.500, 0.500, 0.500) and Pt at (0.000, 0.500, 0.500).

The value obtained for the density of states at the Fermi level is 5.609 states/eV/f.u.



b.
A plane-wave DFT calculation with GGA-PBE was carried out for a relaxed KLaPt3 crystal.

The structure belongs to space group Pm-3m (No. 221); the cell edges are 5.059, 5.059 and 5.059 Å and the angles 90.00°, 90.00° and 90.00°. Symmetry generates all atoms from K at (0.000, 0.000, 0.000), La at (0.500, 0.500, 0.500) and Pt at (0.000, 0.000, 0.500).

The value obtained for the density of states at the Fermi level is 2.966 states/eV/f.u.



Which one sits at the top of the stability order? a does.



a.
A plane-wave DFT calculation with GGA-PBE was carried out for a relaxed KLa3Pt crystal.

The structure belongs to space group Pm-3m (No. 221); the cell edges are 5.354, 5.354 and 5.354 Å and the angles 90.00°, 90.00° and 90.00°. Symmetry generates all atoms from K at (0.000, 0.000, 0.000), La at (0.000, 0.000, 0.500) and Pt at (0.500, 0.500, 0.500).

The value obtained for the density of states at the Fermi level is 4.651 states/eV/f.u.



b.
A plane-wave DFT calculation with GGA-PBE was carried out for a relaxed KLa3Pt crystal.

The structure belongs to space group Pm-3m (No. 221); the cell edges are 5.884, 5.884 and 5.884 Å and the angles 90.00°, 90.00° and 90.00°. Symmetry generates all atoms from K at (0.000, 0.000, 0.000), La at (0.000, 0.500, 0.500) and Pt at (0.500, 0.500, 0.500).

The value obtained for the density of states at the Fermi level is 11.492 states/eV/f.u.



Which one sits at the top of the stability order? b does.



a.
A plane-wave DFT calculation with GGA-PBE was carried out for a relaxed KRbLa3 crystal.

The structure belongs to space group Pm-3m (No. 221); the cell edges are 6.118, 6.118 and 6.118 Å and the angles 90.00°, 90.00° and 90.00°. Symmetry generates all atoms from K at (0.000, 0.000, 0.000), Rb at (0.500, 0.500, 0.500) and La at (0.000, 0.500, 0.500).

The value obtained for the density of states at the Fermi level is 7.867 states/eV/f.u.



b.
A plane-wave DFT calculation with GGA-PBE was carried out for a relaxed KRbLa3 crystal.

The structure belongs to space group Pm-3m (No. 221); the cell edges are 6.212, 6.212 and 6.212 Å and the angles 90.00°, 90.00° and 90.00°. Symmetry generates all atoms from K at (0.000, 0.000, 0.000), Rb at (0.500, 0.500, 0.500) and La at (0.000, 0.000, 0.500).

The value obtained for the density of states at the Fermi level is 8.825 states/eV/f.u.



Which one sits at the top of the stability order? b does.